In2ReCl: PBEsol geometry, SCAN.

Output
* calculated total energy: -35.885 eV per atom

Cell and atoms, written as POSCAR:
```
In2ReCl
1.0
2.995 0.000 0.000
0.000 2.995 0.000
0.000 0.000 9.048
In Re Cl
2 1 1
Cartesian
0.000 0.000 0.000
1.497 1.497 2.622
0.000 0.000 4.603
1.497 1.497 6.008
```

Ag4Pt7: PBEsol geometry, SCAN.

Output
* DFT formation energy: -0.03 eV per formula unit
* offset from the most stable computed form: 0.0 meV per atom

Cell and atoms, written as POSCAR:
```
Ag4Pt7
1.0
9.187 -1.382 0.000
9.187 1.382 0.000
-1.739 0.000 6.665
Ag Pt
4 7
Cartesian
2.390 0.000 0.547
2.694 0.000 5.432
13.941 0.000 1.233
14.244 0.000 6.119
0.292 0.000 2.376
4.866 0.000 3.647
7.147 0.000 1.913
9.187 0.000 0.000
9.487 0.000 4.752
11.768 0.000 3.018
16.342 0.000 4.289
```

NaSc2TcMo: PBEsol geometry, SCAN.

Output
* DFT formation energy: 3.39 eV per formula unit

Cell and atoms, written as POSCAR:
```
NaSc2TcMo
1.0
5.120 0.000 0.000
0.000 5.120 0.000
0.000 0.000 4.557
Na Sc Tc Mo
1 2 1 1
Cartesian
0.000 0.000 0.000
0.000 2.560 2.278
2.560 0.000 2.278
2.560 2.560 0.000
2.560 2.560 2.278
```

In2FeNiS: PBEsol geometry, SCAN.

Output
* calculated total energy: -21.537 eV per atom

Cell and atoms, written as POSCAR:
```
In2FeNiS
1.0
4.976 0.000 0.000
0.000 4.976 0.000
0.000 0.000 3.925
In Fe Ni S
2 1 1 1
Cartesian
0.000 2.488 0.000
2.488 0.000 0.000
0.000 0.000 0.000
2.488 2.488 1.962
0.000 0.000 1.962
```

Number 1: volume 20.29 A^3/atom. Number 2: volume 15.39 A^3/atom. Number 3: volume 23.89 A^3/atom. Number 4: volume 19.43 A^3/atom.